Entry 1:
The following is a PBE calculation of an optimized crystal structure of Re2AgHg, from Alexandria.

Lattice parameters (Å, degrees): 5.969 5.969 5.969 101.06 101.06 128.05
Element x y z (fractional)
Re (0.122, 0.625, 0.997)
Re (0.375, 0.372, 0.497)
Re (0.628, 0.125, 0.003)
Re (0.875, 0.878, 0.503)
Ag (0.000, 0.000, 0.000)
Ag (0.750, 0.250, 0.500)
Hg (0.250, 0.750, 0.500)
Hg (0.500, 0.500, 0.000)

* crystal system: tetragonal
* calculated volume: 18.82 A^3/atom
* E_tot: -5.4451 eV/atom
* DFT formation energy: 1.567 eV/atom
* total moment: 0.5737 μB/atom

=====

Entry 2:
The following is a PBE calculation of an optimized crystal structure of LiCePmRu, from Alexandria.

Lattice parameters (Å, degrees): 5.010 5.010 5.010 60.00 60.00 60.00
Element x y z (fractional)
Li (0.000, 0.000, 0.000)
Ce (0.750, 0.750, 0.750)
Pm (0.250, 0.250, 0.250)
Ru (0.500, 0.500, 0.500)

* crystal system: cubic
* calculated volume: 22.22 A^3/atom
* E_tot: -5.5760 eV/atom
* DFT formation energy: -0.108 eV/atom
* total moment: 0.1768 μB/atom

=====

Entry 3:
The following is a PBE calculation of an optimized crystal structure of Na2RuBr6, from Alexandria.

Lattice parameters (Å, degrees): 6.668 6.668 12.627 90.00 90.00 90.00
Element x y z (fractional)
Na (0.000, 0.000, 0.168)
Na (0.000, 0.000, 0.832)
Na (0.500, 0.500, 0.332)
Na (0.500, 0.500, 0.668)
Ru (0.000, 0.000, 0.500)
Ru (0.500, 0.500, 0.000)
Br (0.185, 0.185, 0.356)
Br (0.185, 0.185, 0.644)
Br (0.235, 0.235, 0.000)
Br (0.265, 0.735, 0.500)
Br (0.315, 0.685, 0.144)
Br (0.315, 0.685, 0.856)
Br (0.685, 0.315, 0.144)
Br (0.685, 0.315, 0.856)
Br (0.735, 0.265, 0.500)
Br (0.765, 0.765, 0.000)
Br (0.815, 0.815, 0.356)
Br (0.815, 0.815, 0.644)

* formation energy from raw total energies: -6.84 eV per formula unit
* crystal system: tetragonal
* calculated volume: 31.19 A^3/atom
* E_tot: -3.1990 eV/atom
* energy above the lowest structure with this stoichiometry: 45.8 meV/atom
* total moment: 0.2224 μB/atom